# PBE-GGA Zr2CdAuN, relaxed
data_Zr2CdAuN
_cell_length_a 5.243
_cell_length_b 5.243
_cell_length_c 4.871
_cell_angle_alpha 90.00
_cell_angle_beta 90.00
_cell_angle_gamma 90.00
_symmetry_space_group_name_H-M 'P 4/m m m'
_symmetry_Int_Tables_number 123
_symmetry_space_group_name_Hall '-P 4 2'
loop_
_atom_site_label
_atom_site_type_symbol
_atom_site_fract_x
_atom_site_fract_y
_atom_site_fract_z
_atom_site_occupancy
Zr1 Zr 0.000 0.500 0.000 1
Cd1 Cd 0.000 0.000 0.000 1
Au1 Au 0.000 0.000 0.500 1
N1 N 0.500 0.500 0.500 1
# VASP energy ... -3.983 eV per atom
# V ... 133.91 Å³ per cell
# Formation energy (no corrections) ... 1940 meV per atom